Here is a relaxed K2ReN2 crystal from the Alexandria database. Energies are from PBE-GGA.

```
10
Lattice="3.4853 0.0000 -0.6136 0.0000 6.1294 0.0000 -0.0222 0.0000 10.0787" Properties=species:S:1:pos:R:3 pbc="T T T"
K 0.6667 2.8593 3.7869
K 0.0911 2.0272 0.5173
K 2.7963 5.9241 5.6782
K 3.3720 5.0919 8.9478
N 0.4976 0.0951 2.8265
N 1.4155 0.9122 8.0402
N 2.9654 3.1598 6.6386
N 2.0475 3.9770 1.4249
Re 1.2815 2.4764 7.2788
Re 2.1816 5.5411 2.1863
```

Results
final energy	-0.47048	Ry/atom
offset from the most stable computed form	0	meV per atom